1.
Here is a relaxed structure of NpZnAsO6 from Alexandria. Energies are from GGA-PBE.

Cell lengths 5.4612, 5.4612, 8.8931 Å; angles 90.00, 90.00, 120.00 degrees
Closest atoms and distances in Å follow each position.
Fractional coordinates of all 18 atoms:
Np  0.3333  0.6667  0.2500  6 O 2.04
Np  0.6667  0.3333  0.7500  6 O 2.04
Zn  0.0000  0.0000  0.0000  6 O 2.22
Zn  0.0000  0.0000  0.5000  6 O 2.22
As  0.3333  0.6667  0.7500  6 O 2.10
As  0.6667  0.3333  0.2500  6 O 2.10
O  0.0084  0.3483  0.1324  1 Np 2.04, 1 As 2.10, 1 Zn 2.22
O  0.0084  0.6600  0.3676  1 Np 2.04, 1 As 2.10, 1 Zn 2.22
O  0.3400  0.3483  0.3676  1 Np 2.04, 1 As 2.10, 1 Zn 2.22
O  0.3400  0.9916  0.1324  1 Np 2.04, 1 As 2.10, 1 Zn 2.22
O  0.3483  0.0084  0.6324  1 Np 2.04, 1 As 2.10, 1 Zn 2.22
O  0.3483  0.3400  0.8676  1 Np 2.04, 1 As 2.10, 1 Zn 2.22
O  0.6517  0.6600  0.1324  1 Np 2.04, 1 As 2.10, 1 Zn 2.22
O  0.6517  0.9916  0.3676  1 Np 2.04, 1 As 2.10, 1 Zn 2.22
O  0.6600  0.0084  0.8676  1 Np 2.04, 1 As 2.10, 1 Zn 2.22
O  0.6600  0.6517  0.6324  1 Np 2.04, 1 As 2.10, 1 Zn 2.22
O  0.9916  0.3400  0.6324  1 Np 2.04, 1 As 2.10, 1 Zn 2.22
O  0.9916  0.6517  0.8676  1 Np 2.04, 1 As 2.10, 1 Zn 2.22

Output
D(E_F) = 0.0253 states/eV/atom
Uncorrected energy = -7.1105 eV per atom
SG = P-31c, No. 163
Size of the total moment = 0.1 Bohr magnetons per cell



2.
Here is a relaxed structure of NdEuHgGe from Alexandria. Energies are from GGA-PBE.

Cell lengths 7.5667, 7.5667, 7.5667 Å; angles 90.00, 90.00, 90.00 degrees
Closest atoms and distances in Å follow each position.
Fractional coordinates of all 16 atoms:
Nd  0.0000  0.0000  0.0000  4 Ge 3.28, 4 Hg 3.28
Nd  0.0000  0.5000  0.5000  4 Ge 3.28, 4 Hg 3.28
Nd  0.5000  0.0000  0.5000  4 Ge 3.28, 4 Hg 3.28
Nd  0.5000  0.5000  0.0000  4 Ge 3.28, 4 Hg 3.28
Eu  0.0000  0.0000  0.5000  4 Hg 3.28, 4 Ge 3.28
Eu  0.0000  0.5000  0.0000  4 Hg 3.28, 4 Ge 3.28
Eu  0.5000  0.0000  0.0000  4 Hg 3.28, 4 Ge 3.28
Eu  0.5000  0.5000  0.5000  4 Hg 3.28, 4 Ge 3.28
Hg  0.2500  0.2500  0.2500  4 Nd 3.28, 4 Eu 3.28
Hg  0.2500  0.7500  0.7500  4 Nd 3.28, 4 Eu 3.28
Hg  0.7500  0.2500  0.7500  4 Nd 3.28, 4 Eu 3.28
Hg  0.7500  0.7500  0.2500  4 Nd 3.28, 4 Eu 3.28
Ge  0.2500  0.2500  0.7500  4 Nd 3.28, 4 Eu 3.28
Ge  0.2500  0.7500  0.2500  4 Nd 3.28, 4 Eu 3.28
Ge  0.7500  0.2500  0.2500  4 Nd 3.28, 4 Eu 3.28
Ge  0.7500  0.7500  0.7500  4 Nd 3.28, 4 Eu 3.28

Output
D(E_F) = 0.7057 states/eV/atom
Uncorrected energy = -5.5522 eV per atom
SG = F-43m, No. 216
Size of the total moment = 30.7 Bohr magnetons per cell



3.
Here is a relaxed structure of PmSmO from Alexandria. Energies are from GGA-PBE.

Cell lengths 12.2018, 12.2018, 12.2018 Å; angles 17.17, 17.17, 17.17 degrees
Closest atoms and distances in Å follow each position.
Fractional coordinates of all 6 atoms:
Pm  0.2115  0.2115  0.2115  3 O 2.54
Pm  0.7885  0.7885  0.7885  3 O 2.54
Sm  0.0472  0.0472  0.0472  3 O 2.45
Sm  0.9528  0.9528  0.9528  3 O 2.45
O  0.4155  0.4155  0.4155  3 Sm 2.45, 3 Pm 2.54
O  0.5845  0.5845  0.5845  3 Sm 2.45, 3 Pm 2.54

Output
Relative energy among the computed polymorphs = 27 meV per atom
D(E_F) = 0.8288 states/eV/atom
SG = R-3m, No. 166
Size of the total moment = 0.5 Bohr magnetons per cell



4.
Here is a relaxed structure of Sm2BeGePd6 from Alexandria. Energies are from GGA-PBE.

Cell lengths 5.7912, 5.8840, 6.9770 Å; angles 67.63, 66.26, 60.94 degrees
Closest atoms and distances in Å follow each position.
Fractional coordinates of all 10 atoms:
Sm  0.2349  0.2472  0.3140  7 Pd 2.98-3.15
Sm  0.7651  0.7528  0.6860  7 Pd 2.98-3.15
Be  0.0000  0.0000  0.0000  6 Pd 2.14-2.16
Ge  0.5000  0.5000  0.5000  6 Pd 2.50-2.51
Pd  0.2247  0.6790  0.8339  1 Be 2.16
Pd  0.2398  0.2233  0.7714  1 Be 2.14
Pd  0.2872  0.7851  0.1932  1 Be 2.16
Pd  0.7128  0.2149  0.8068  1 Be 2.16
Pd  0.7602  0.7767  0.2286  1 Be 2.14
Pd  0.7753  0.3210  0.1661  1 Be 2.16

Output
D(E_F) = 0.3579 states/eV/atom
Uncorrected energy = -5.5542 eV per atom
SG = P-1, No. 2
Size of the total moment = 0.0 Bohr magnetons per cell



5.
Here is a relaxed structure of BaCd2Pb2 from Alexandria. Energies are from GGA-PBE.

Cell lengths 8.9930, 8.9930, 3.8509 Å; angles 90.00, 90.00, 90.00 degrees
Closest atoms and distances in Å follow each position.
Fractional coordinates of all 10 atoms:
Ba  0.0000  0.0000  0.0000  4 Cd 3.59, 8 Pb 3.84, 2 Ba 3.85
Ba  0.5000  0.5000  0.0000  4 Cd 3.59, 8 Pb 3.84, 2 Ba 3.85
Cd  0.1186  0.3814  0.0000  1 Cd 3.02, 6 Pb 3.26-3.31
Cd  0.3814  0.8814  0.0000  1 Cd 3.02, 6 Pb 3.26-3.31
Cd  0.6186  0.1186  0.0000  1 Cd 3.02, 6 Pb 3.26-3.31
Cd  0.8814  0.6186  0.0000  1 Cd 3.02, 6 Pb 3.26-3.31
Pb  0.1750  0.6750  0.5000  6 Cd 3.26-3.31
Pb  0.3250  0.1750  0.5000  6 Cd 3.26-3.31
Pb  0.6750  0.8250  0.5000  6 Cd 3.26-3.31
Pb  0.8250  0.3250  0.5000  6 Cd 3.26-3.31

Output
D(E_F) = 0.5821 states/eV/atom
Uncorrected energy = -2.4285 eV per atom
SG = P4/mbm, No. 127
Size of the total moment = 0.0 Bohr magnetons per cell



6.
Here is a relaxed structure of RbCa2ZnPd from Alexandria. Energies are from GGA-PBE.

Cell lengths 5.6950, 5.6950, 5.1975 Å; angles 90.00, 90.00, 90.00 degrees
Closest atoms and distances in Å follow each position.
Fractional coordinates of all 5 atoms:
Rb  0.0000  0.0000  0.0000  8 Ca 3.86, 4 Zn 4.03
Ca  0.0000  0.5000  0.5000  2 Pd 2.85
Ca  0.5000  0.0000  0.5000  2 Pd 2.85
Zn  0.5000  0.5000  0.0000  2 Pd 2.60
Pd  0.5000  0.5000  0.5000  2 Zn 2.60, 4 Ca 2.85

Output
D(E_F) = 0.5425 states/eV/atom
Uncorrected energy = -2.4506 eV per atom
SG = P4/mmm, No. 123
Size of the total moment = 0.0 Bohr magnetons per cell



7.
Here is a relaxed structure of CaThMg4 from Alexandria. Energies are from GGA-PBE.

Cell lengths 6.1177, 6.1177, 6.1177 Å; angles 60.00, 60.00, 60.00 degrees
Closest atoms and distances in Å follow each position.
Fractional coordinates of all 6 atoms:
Ca  0.0000  0.0000  0.0000  12 Mg 3.59, 4 Th 3.75
Th  0.2500  0.2500  0.2500  12 Mg 3.58, 4 Ca 3.75
Mg  0.1276  0.6241  0.6241  6 Mg 3.04-3.08
Mg  0.6241  0.1276  0.6241  6 Mg 3.04-3.08
Mg  0.6241  0.6241  0.1276  6 Mg 3.04-3.08
Mg  0.6241  0.6241  0.6241  6 Mg 3.04-3.08

Output
D(E_F) = 0.8426 states/eV/atom
Uncorrected energy = -2.6236 eV per atom
SG = F-43m, No. 216
Size of the total moment = 0.0 Bohr magnetons per cell



8.
Here is a relaxed structure of Nd5Tl2As from Alexandria. Energies are from GGA-PBE.

Cell lengths 8.7526, 12.7338, 4.5315 Å; angles 90.00, 90.00, 90.00 degrees
Closest atoms and distances in Å follow each position.
Fractional coordinates of all 16 atoms:
Nd  0.0000  0.0000  0.0000  4 Tl 3.26, 4 Nd 3.62
Nd  0.1451  0.2920  0.0000  1 As 2.94
Nd  0.1951  0.5709  0.5000  2 As 2.98
Nd  0.3049  0.0709  0.5000  2 As 2.98
Nd  0.3549  0.7920  0.0000  1 As 2.94
Nd  0.5000  0.5000  0.0000  4 Tl 3.26, 4 Nd 3.62
Nd  0.6451  0.2080  0.0000  1 As 2.94
Nd  0.6951  0.9291  0.5000  2 As 2.98
Nd  0.8049  0.4291  0.5000  2 As 2.98
Nd  0.8549  0.7080  0.0000  1 As 2.94
Tl  0.0792  0.8245  0.5000  8 Nd 3.26-3.62
Tl  0.4208  0.3245  0.5000  8 Nd 3.26-3.62
Tl  0.5792  0.6755  0.5000  8 Nd 3.26-3.62
Tl  0.9208  0.1755  0.5000  8 Nd 3.26-3.62
As  0.0000  0.5000  0.0000  6 Nd 2.94-2.98
As  0.5000  0.0000  0.0000  6 Nd 2.94-2.98

Output
D(E_F) = 1.3750 states/eV/atom
Uncorrected energy = -4.7041 eV per atom
SG = Pbam, No. 55
Size of the total moment = 0.0 Bohr magnetons per cell



9.
Here is a relaxed structure of Cd3Ni4 from Alexandria. Energies are from GGA-PBE.

Cell lengths 2.9699, 2.9699, 23.7945 Å; angles 90.00, 90.00, 90.00 degrees
Closest atoms and distances in Å follow each position.
Fractional coordinates of all 14 atoms:
Cd  0.0000  0.0000  0.0000  10 Ni 2.75-2.98, 4 Cd 2.97
Cd  0.0000  0.0000  0.3011  5 Ni 2.73-2.96, 4 Cd 2.97
Cd  0.0000  0.0000  0.6989  5 Ni 2.73-2.96, 4 Cd 2.97
Cd  0.5000  0.5000  0.1989  5 Ni 2.73-2.96, 4 Cd 2.97
Cd  0.5000  0.5000  0.5000  10 Ni 2.75-2.98, 4 Cd 2.97
Cd  0.5000  0.5000  0.8011  5 Ni 2.73-2.96, 4 Cd 2.97
Ni  0.0000  0.0000  0.1253  4 Ni 2.42
Ni  0.0000  0.0000  0.4256  4 Ni 2.42
Ni  0.0000  0.0000  0.5744  4 Ni 2.42
Ni  0.0000  0.0000  0.8747  4 Ni 2.42
Ni  0.5000  0.5000  0.0744  4 Ni 2.42
Ni  0.5000  0.5000  0.3747  4 Ni 2.42
Ni  0.5000  0.5000  0.6253  4 Ni 2.42
Ni  0.5000  0.5000  0.9256  4 Ni 2.42

Output
Relative energy among the computed polymorphs = 0 meV per atom
D(E_F) = 1.1787 states/eV/atom
SG = I4/mmm, No. 139
Size of the total moment = 1.9 Bohr magnetons per cell



10.
Here is a relaxed structure of ZnTeBr3 from Alexandria. Energies are from GGA-PBE.

Cell lengths 5.6421, 5.6421, 5.6421 Å; angles 90.00, 90.00, 90.00 degrees
Closest atoms and distances in Å follow each position.
Fractional coordinates of all 5 atoms:
Zn  0.0000  0.0000  0.0000  12 Br 3.99
Te  0.5000  0.5000  0.5000  6 Br 2.82
Br  0.0000  0.5000  0.5000  2 Te 2.82
Br  0.5000  0.0000  0.5000  2 Te 2.82
Br  0.5000  0.5000  0.0000  2 Te 2.82

Output
Relative energy among the computed polymorphs = 34 meV per atom
D(E_F) = 0.5170 states/eV/atom
SG = Pm-3m, No. 221
Size of the total moment = 0.0 Bohr magnetons per cell



11.
Here is a relaxed structure of SrHg6Pb from Alexandria. Energies are from GGA-PBE.

Cell lengths 5.2142, 7.3878, 11.4518 Å; angles 90.00, 90.00, 90.00 degrees
Closest atoms and distances in Å follow each position.
Fractional coordinates of all 16 atoms:
Sr  0.0000  0.0000  0.0000  12 Hg 3.35-3.71
Sr  0.0000  0.5000  0.5000  12 Hg 3.35-3.71
Hg  0.0000  0.0000  0.5305  8 Hg 3.19-3.43, 2 Pb 3.44
Hg  0.0000  0.2189  0.2660  7 Hg 3.21-3.43, 2 Pb 3.36, 2 Sr 3.39-3.45
Hg  0.0000  0.2811  0.7660  7 Hg 3.21-3.43, 2 Pb 3.36, 2 Sr 3.39-3.45
Hg  0.0000  0.5000  0.0305  8 Hg 3.19-3.43, 2 Pb 3.44
Hg  0.0000  0.7189  0.7660  7 Hg 3.21-3.43, 2 Pb 3.36, 2 Sr 3.39-3.45
Hg  0.0000  0.7811  0.2660  7 Hg 3.21-3.43, 2 Pb 3.36, 2 Sr 3.39-3.45
Hg  0.5000  0.0000  0.1842  8 Hg 3.21-3.47, 2 Sr 3.35
Hg  0.5000  0.2171  0.4533  7 Hg 3.19-3.47, 2 Pb 3.34-3.51, 2 Sr 3.38
Hg  0.5000  0.2829  0.9533  7 Hg 3.19-3.47, 2 Pb 3.34-3.51, 2 Sr 3.38
Hg  0.5000  0.5000  0.6842  8 Hg 3.21-3.47, 2 Sr 3.35
Hg  0.5000  0.7171  0.9533  7 Hg 3.19-3.47, 2 Pb 3.34-3.51, 2 Sr 3.38
Hg  0.5000  0.7829  0.4533  7 Hg 3.19-3.47, 2 Pb 3.34-3.51, 2 Sr 3.38
Pb  0.5000  0.0000  0.7260  12 Hg 3.34-3.72
Pb  0.5000  0.5000  0.2260  12 Hg 3.34-3.72

Output
D(E_F) = 0.4194 states/eV/atom
Uncorrected energy = -1.0958 eV per atom
SG = Amm2, No. 38
Size of the total moment = 0.0 Bohr magnetons per cell



12.
Here is a relaxed structure of NdHoPuN3 from Alexandria. Energies are from GGA-PBE.

Cell lengths 7.0835, 3.5591, 9.4230 Å; angles 90.00, 105.85, 90.00 degrees
Closest atoms and distances in Å follow each position.
Fractional coordinates of all 12 atoms:
Nd  0.0894  0.2500  0.3694  5 N 2.45-2.63
Nd  0.9106  0.7500  0.6306  5 N 2.45-2.63
Ho  0.4385  0.7500  0.6383  6 N 2.32-2.52
Ho  0.5615  0.2500  0.3617  6 N 2.32-2.52
Pu  0.2892  0.2500  0.9110  4 N 2.19-2.43
Pu  0.7108  0.7500  0.0890  4 N 2.19-2.43
N  0.1878  0.2500  0.6431  1 Pu 2.43, 3 Nd 2.48-2.63, 2 Ho 2.52
N  0.3303  0.7500  0.3821  3 Ho 2.32-2.46, 2 Nd 2.45
N  0.4581  0.7500  0.8884  3 Pu 2.19-2.22, 1 Ho 2.32
N  0.5419  0.2500  0.1116  3 Pu 2.19-2.22, 1 Ho 2.32
N  0.6697  0.2500  0.6179  3 Ho 2.32-2.46, 2 Nd 2.45
N  0.8122  0.7500  0.3569  1 Pu 2.43, 3 Nd 2.48-2.63, 2 Ho 2.52

Output
D(E_F) = 1.2387 states/eV/atom
Uncorrected energy = -9.3015 eV per atom
SG = P2_1/m, No. 11
Size of the total moment = 9.9 Bohr magnetons per cell